This record from Alexandria describes crystalline HoBeBr at its relaxed geometry. The functional is PBE.

Volume, Å³ per cell: 149.0
E_tot, Ry/atom: -0.3086
Space group: C2/m
Density, g cm⁻³: 5.7

abc: 3.876 3.876 11.527
angles: 96.15 96.15 60.16
Atoms (fractional coordinates):
Ho: 0.034 0.034 0.162
Ho: 0.966 0.966 0.838
Be: 0.334 0.334 0.003
Be: 0.666 0.666 0.997
Br: 0.264 0.264 0.673
Br: 0.736 0.736 0.327

This record from Alexandria describes crystalline BeIBr at its relaxed geometry. The functional is PBE.

Volume, Å³ per cell: 398.0
E_tot, Ry/atom: -0.2254
Space group: P2_1/c
Density, g cm⁻³: 3.6

abc: 8.451 6.250 7.705
angles: 90.00 102.02 90.00
Atoms (fractional coordinates):
Be: 0.131 0.164 0.280
Be: 0.131 0.336 0.780
Be: 0.869 0.664 0.220
Be: 0.869 0.836 0.720
I: 0.302 0.249 0.569
I: 0.302 0.251 0.069
I: 0.698 0.749 0.931
I: 0.698 0.751 0.431
Br: 0.108 0.693 0.773
Br: 0.108 0.807 0.273
Br: 0.892 0.193 0.727
Br: 0.892 0.307 0.227

no.,formation energy from raw total energies (eV per atom)
1,-0.87
2,-0.75